# H12PdC4N2O10 GGA-PBE optimized geometry
data_H12PdC4N2O10
_chemical_formula_sum 'H24 Pd2 C8 N4 O20'
_cell_length_a 7.440
_cell_length_b 13.984
_cell_length_c 6.752
_cell_angle_alpha 90.00
_cell_angle_beta 116.13
_cell_angle_gamma 90.00
_symmetry_space_group_name_H-M 'P 1 21/c 1'
_symmetry_Int_Tables_number 14
loop_
_symmetry_equiv_pos_as_xyz
'x,y,z'
'-x,-y,-z'
'-x,y+1/2,-z+1/2'
'x,-y+1/2,z+1/2'
loop_
_atom_site_label
_atom_site_fract_x
_atom_site_fract_y
_atom_site_fract_z
H1 0.025 0.111 0.381
H2 0.061 0.205 0.554
H3 0.092 0.613 0.954
H4 0.162 0.693 0.166
H5 0.357 0.674 0.791
H6 0.463 0.731 0.417
Pd1 0.500 0.000 0.000
C1 0.250 0.012 0.214
C2 0.263 0.115 0.135
N1 0.042 0.654 0.045
O1 0.145 0.505 0.811
O2 0.175 0.181 0.178
O3 0.337 0.732 0.863
O4 0.355 0.553 0.672
O5 0.370 0.124 0.027
# density of states at the Fermi level	0.00	states/eV/atom
# E_tot	-6.0023	eV/atom

---

# RbH3CN2O GGA-PBE optimized geometry
data_RbH3CN2O
_chemical_formula_sum 'Rb8 H24 C8 N16 O8'
_cell_length_a 7.491
_cell_length_b 7.568
_cell_length_c 13.974
_cell_angle_alpha 90.00
_cell_angle_beta 90.00
_cell_angle_gamma 90.00
_symmetry_space_group_name_H-M 'P b c a'
_symmetry_Int_Tables_number 61
loop_
_symmetry_equiv_pos_as_xyz
'x,y,z'
'-x,-y,-z'
'-x+1/2,-y,z+1/2'
'x+1/2,y,-z+1/2'
'x+1/2,-y+1/2,-z'
'-x+1/2,y+1/2,z'
'-x,y+1/2,-z+1/2'
'x,-y+1/2,z+1/2'
loop_
_atom_site_label
_atom_site_fract_x
_atom_site_fract_y
_atom_site_fract_z
Rb1 0.107 0.043 0.194
H1 0.105 0.087 0.542
H2 0.189 0.642 0.885
H3 0.228 0.745 0.529
C1 0.107 0.211 0.411
N1 0.148 0.201 0.509
N2 0.204 0.195 0.850
O1 0.038 0.629 0.115
# density of states at the Fermi level	0.00	states/eV/atom
# E_tot	-5.8954	eV/atom

---

# ReH12C4NO4 GGA-PBE optimized geometry
data_ReH12C4NO4
_chemical_formula_sum 'Re4 H48 C16 N4 O16'
_cell_length_a 6.219
_cell_length_b 12.284
_cell_length_c 12.544
_cell_angle_alpha 90.00
_cell_angle_beta 90.00
_cell_angle_gamma 90.00
_symmetry_space_group_name_H-M 'P b c m'
_symmetry_Int_Tables_number 57
loop_
_symmetry_equiv_pos_as_xyz
'x,y,z'
'-x,-y,-z'
'-x,-y,z+1/2'
'x,y,-z+1/2'
'x,-y+1/2,-z'
'-x,y+1/2,z'
'-x,y+1/2,-z+1/2'
'x,-y+1/2,z+1/2'
loop_
_atom_site_label
_atom_site_fract_x
_atom_site_fract_y
_atom_site_fract_z
Re1 0.078 0.011 0.250
H1 0.239 0.215 0.615
H2 0.240 0.126 0.501
H3 0.279 0.750 0.119
H4 0.284 0.631 0.034
H5 0.444 0.113 0.602
H6 0.485 0.648 0.136
C1 0.340 0.170 0.559
C2 0.382 0.690 0.078
N1 0.479 0.250 0.000
O1 0.167 0.147 0.250
O2 0.173 0.555 0.635
O3 0.204 0.509 0.250
# density of states at the Fermi level	0.00	states/eV/atom
# E_tot	-5.8974	eV/atom

---

# ReH6CN3O4 GGA-PBE optimized geometry
data_ReH6CN3O4
_chemical_formula_sum 'Re2 H12 C2 N6 O8'
_cell_length_a 5.338
_cell_length_b 8.111
_cell_length_c 8.511
_cell_angle_alpha 76.31
_cell_angle_beta 89.72
_cell_angle_gamma 84.52
_symmetry_space_group_name_H-M 'P -1'
_symmetry_Int_Tables_number 2
loop_
_symmetry_equiv_pos_as_xyz
'x,y,z'
'-x,-y,-z'
loop_
_atom_site_label
_atom_site_fract_x
_atom_site_fract_y
_atom_site_fract_z
Re1 0.015 0.255 0.315
H1 0.189 0.116 0.760
H2 0.203 0.118 0.966
H3 0.308 0.611 0.084
H4 0.320 0.617 0.345
H5 0.470 0.263 0.581
H6 0.488 0.740 0.939
C1 0.457 0.251 0.824
N1 0.281 0.142 0.854
N2 0.442 0.694 0.056
N3 0.462 0.694 0.327
O1 0.101 0.463 0.243
O2 0.134 0.127 0.185
O3 0.134 0.172 0.512
O4 0.314 0.737 0.686
# density of states at the Fermi level	0.00	states/eV/atom
# E_tot	-6.5819	eV/atom

---

# SmH6C2SNO9 GGA-PBE optimized geometry
data_SmH6C2SNO9
_chemical_formula_sum 'Sm4 H24 C8 S4 N4 O36'
_cell_length_a 6.707
_cell_length_b 8.800
_cell_length_c 14.970
_cell_angle_alpha 90.00
_cell_angle_beta 112.37
_cell_angle_gamma 90.00
_symmetry_space_group_name_H-M 'P 1 21/c 1'
_symmetry_Int_Tables_number 14
loop_
_symmetry_equiv_pos_as_xyz
'x,y,z'
'-x,-y,-z'
'-x,y+1/2,-z+1/2'
'x,-y+1/2,z+1/2'
loop_
_atom_site_label
_atom_site_fract_x
_atom_site_fract_y
_atom_site_fract_z
Sm1 0.164 0.242 0.412
H1 0.224 0.034 0.084
H2 0.367 0.238 0.660
H3 0.381 0.047 0.668
H4 0.403 0.653 0.832
H5 0.457 0.042 0.083
H6 0.483 0.655 0.736
C1 0.076 0.039 0.218
C2 0.142 0.531 0.270
S1 0.241 0.662 0.975
N1 0.466 0.147 0.691
O1 0.068 0.734 0.000
O2 0.097 0.548 0.654
O3 0.158 0.603 0.200
O4 0.200 0.690 0.872
O5 0.218 0.127 0.273
O6 0.245 0.005 0.494
O7 0.287 0.050 0.831
O8 0.315 0.093 0.057
O9 0.452 0.729 0.039
# density of states at the Fermi level	0.00	states/eV/atom
# E_tot	-6.4087	eV/atom

---

# ZnH12C2S2N6O8 GGA-PBE optimized geometry
data_ZnH12C2S2N6O8
_chemical_formula_sum 'Zn4 H48 C8 S8 N24 O32'
_cell_length_a 9.731
_cell_length_b 9.731
_cell_length_c 14.699
_cell_angle_alpha 90.00
_cell_angle_beta 90.00
_cell_angle_gamma 90.00
_symmetry_space_group_name_H-M 'I -4 2 d'
_symmetry_Int_Tables_number 122
_symmetry_space_group_name_Hall 'I -4 2bw'
loop_
_atom_site_label
_atom_site_fract_x
_atom_site_fract_y
_atom_site_fract_z
Zn1 0.000 0.000 0.000
H1 0.014 0.153 0.748
H2 0.171 0.196 0.696
H3 0.191 0.703 0.574
C1 0.001 0.750 0.625
S1 0.041 0.250 0.125
N1 0.067 0.189 0.693
N2 0.138 0.750 0.625
O1 0.056 0.661 0.179
O2 0.128 0.166 0.186
# density of states at the Fermi level	0.00	states/eV/atom
# E_tot	-5.8635	eV/atom

---

These records have magnetization values of 0.00, 0.00, 0.01, 0.00, 0.00, 0.00 μB per atom, in the order they appear.